Material: Ba2GaSn2Au4
Method: DFT, PBE
State: optimized geometry

Lattice parameters (Å, degrees): 7.020 7.020 7.020 119.67 119.67 90.58
Element x y z (fractional)
Ba (0.250, 0.750, 0.500)
Ba (0.750, 0.250, 0.500)
Ga (0.000, 0.000, 0.000)
Sn (0.333, 0.333, 0.000)
Sn (0.667, 0.667, 0.000)
Au (0.260, 0.260, 0.520)
Au (0.260, 0.740, 0.000)
Au (0.740, 0.260, 0.000)
Au (0.740, 0.740, 0.480)

Summary:
Symmetry: No. 139
Volume, A^3/atom: 27.31
E_form, eV/f.u.: -4.43
M_tot, μB per cell: 0.00
D(E_F), states/eV/cell: 7.0


Material: BaGa2SnAu4
Method: DFT, PBE
State: optimized geometry

Lattice parameters (Å, degrees): 11.029 11.029 11.029 23.45 23.45 23.45
Element x y z (fractional)
Ba (0.000, 0.000, 0.000)
Ga (0.249, 0.249, 0.249)
Ga (0.751, 0.751, 0.751)
Sn (0.500, 0.500, 0.500)
Au (0.123, 0.123, 0.123)
Au (0.403, 0.403, 0.403)
Au (0.597, 0.597, 0.597)
Au (0.877, 0.877, 0.877)

Summary:
Symmetry: No. 166
Volume, A^3/atom: 23.32
E_form, eV/f.u.: -2.82
M_tot, μB per cell: 0.00
D(E_F), states/eV/cell: 4.5


Material: BaGa2SnAu
Method: DFT, PBE
State: optimized geometry

Lattice parameters (Å, degrees): 6.577 6.577 6.577 138.49 137.24 61.12
Element x y z (fractional)
Ba (0.000, 0.000, 0.000)
Ga (0.396, 0.396, 0.000)
Ga (0.752, 0.252, 0.500)
Sn (0.253, 0.753, 0.500)
Au (0.626, 0.626, 0.000)

Summary:
Symmetry: No. 44
Volume, A^3/atom: 25.32
E_form, eV/f.u.: -2.66
M_tot, μB per cell: 0.00
D(E_F), states/eV/cell: 2.2


Material: BaGaSnAu3
Method: DFT, PBE
State: optimized geometry

Lattice parameters (Å, degrees): 7.803 7.803 6.898 90.00 90.00 125.88
Element x y z (fractional)
Ba (0.226, 0.774, 0.750)
Ba (0.774, 0.226, 0.250)
Ga (0.094, 0.906, 0.250)
Ga (0.906, 0.094, 0.750)
Sn (0.463, 0.537, 0.250)
Sn (0.537, 0.463, 0.750)
Au (0.202, 0.202, 0.000)
Au (0.202, 0.202, 0.500)
Au (0.272, 0.728, 0.250)
Au (0.728, 0.272, 0.750)
Au (0.798, 0.798, 0.000)
Au (0.798, 0.798, 0.500)

Summary:
Symmetry: No. 63
Volume, A^3/atom: 28.36
E_form, eV/f.u.: -2.55
M_tot, μB per cell: 0.00
D(E_F), states/eV/cell: 4.3


Material: Ba2GaSnAu6
Method: DFT, PBE
State: optimized geometry

Lattice parameters (Å, degrees): 7.347 7.347 7.347 119.95 119.95 90.09
Element x y z (fractional)
Ba (0.250, 0.750, 0.500)
Ba (0.750, 0.250, 0.500)
Ga (0.000, 0.000, 0.000)
Sn (0.500, 0.500, 0.000)
Au (0.241, 0.241, 0.000)
Au (0.241, 0.241, 0.482)
Au (0.241, 0.759, 0.000)
Au (0.759, 0.241, 0.000)
Au (0.759, 0.759, 0.000)
Au (0.759, 0.759, 0.518)

Summary:
Symmetry: No. 139
Volume, A^3/atom: 28.07
E_form, eV/f.u.: -4.41
M_tot, μB per cell: 0.00
D(E_F), states/eV/cell: 4.0


Material: BaSrGa2Au2
Method: DFT, PBE
State: optimized geometry

Lattice parameters (Å, degrees): 4.595 4.595 9.049 90.00 90.00 120.00
Element x y z (fractional)
Ba (0.000, 0.000, 0.000)
Sr (0.000, 0.000, 0.500)
Ga (0.333, 0.667, 0.265)
Ga (0.667, 0.333, 0.735)
Au (0.333, 0.667, 0.733)
Au (0.667, 0.333, 0.267)

Summary:
Symmetry: No. 164
Volume, A^3/atom: 27.57
E_form, eV/f.u.: -3.75
M_tot, μB per cell: 0.00
D(E_F), states/eV/cell: 3.9


Material: BaSrGaAu
Method: DFT, PBE
State: optimized geometry

Lattice parameters (Å, degrees): 4.647 6.309 6.309 46.24 90.00 90.00
Element x y z (fractional)
Ba (0.000, 0.000, 0.000)
Sr (0.500, 0.711, 0.711)
Ga (0.000, 0.295, 0.295)
Au (0.500, 0.406, 0.406)

Summary:
Symmetry: No. 38
Volume, A^3/atom: 33.40
ΔE to the lowest computed polymorph, meV per atom: 0
E_form, eV/f.u.: -2.11
M_tot, μB per cell: 0.00
D(E_F), states/eV/cell: 3.2


Material: BaSrGaAu
Method: DFT, PBE
State: optimized geometry

Lattice parameters (Å, degrees): 5.626 5.626 5.626 60.00 60.00 60.00
Element x y z (fractional)
Ba (0.000, 0.000, 0.000)
Sr (0.500, 0.500, 0.500)
Ga (0.750, 0.750, 0.750)
Au (0.250, 0.250, 0.250)

Summary:
Symmetry: No. 216
Volume, A^3/atom: 31.49
ΔE to the lowest computed polymorph, meV per atom: 64
E_form, eV/f.u.: -1.86
M_tot, μB per cell: 0.00
D(E_F), states/eV/cell: 4.1